No. 1
PrNp2Fe9: optimized geometry, GGA-PBE.

Cell and atoms, written as POSCAR:
```
PrNp2Fe9
1.0
2.438 1.408 8.434
-2.438 1.408 8.434
0.000 -2.815 8.434
Pr Np Fe
1 2 9
direct
0.000 0.000 0.000
0.145 0.145 0.145
0.855 0.855 0.855
0.085 0.580 0.580
0.332 0.332 0.332
0.420 0.420 0.915
0.420 0.915 0.420
0.500 0.500 0.500
0.580 0.085 0.580
0.580 0.580 0.085
0.668 0.668 0.668
0.915 0.420 0.420
```

## Properties
DOS(E_F)   21.3 states/eV per cell
Formation enthalpy at 0 K   2.27 kcal/mol of atoms
Space group   No. 166
Density   10.686 Mg/m³
Energy   -8.804 eV per atom

=====

No. 2
PuIn3Cl9: optimized geometry, GGA-PBE.

Cell and atoms, written as POSCAR:
```
PuIn3Cl9
1.0
9.249 -4.901 0.000
9.249 4.901 0.000
-8.379 0.000 11.456
Pu In Cl
2 6 18
direct
0.008 0.992 0.500
0.992 0.008 0.000
0.103 0.524 0.222
0.285 0.711 0.753
0.471 0.914 0.277
0.524 0.103 0.722
0.711 0.285 0.253
0.914 0.471 0.777
0.017 0.486 0.999
0.049 0.774 0.581
0.128 0.193 0.196
0.193 0.128 0.696
0.210 0.961 0.916
0.217 0.768 0.079
0.247 0.766 0.421
0.289 0.489 0.762
0.486 0.017 0.499
0.489 0.289 0.262
0.521 0.687 0.751
0.687 0.521 0.251
0.766 0.247 0.921
0.768 0.217 0.579
0.774 0.049 0.081
0.829 0.848 0.303
0.848 0.829 0.803
0.961 0.210 0.416
```

## Properties
DOS(E_F)   16.2 states/eV per cell
Space group   No. 9
Raw formation energy   -1199 meV per atom
Density   2.902 Mg/m³
Energy   -4.212 eV per atom

=====

No. 3
TaNiIr2: optimized geometry, GGA-PBE.

Cell and atoms, written as POSCAR:
```
TaNiIr2
1.0
3.919 0.000 0.000
0.000 3.919 0.000
0.000 0.000 3.747
Ta Ni Ir
1 1 2
direct
0.000 0.000 0.000
0.500 0.500 0.000
0.000 0.500 0.500
0.500 0.000 0.500
```

## Properties
DOS(E_F)   3.5 states/eV per cell
Formation enthalpy at 0 K   -12.48 kcal/mol of atoms
Space group   No. 123
Density   18.013 Mg/m³
Energy   -9.380 eV per atom

=====

No. 4
AlCrRu2: optimized geometry, GGA-PBE.

Cell and atoms, written as POSCAR:
```
AlCrRu2
1.0
1.373 0.793 8.297
-1.373 0.793 8.297
0.000 -1.585 8.297
Al Cr Ru
1 1 2
direct
0.000 0.000 0.000
0.500 0.500 0.500
0.248 0.248 0.248
0.752 0.752 0.752
```

## Properties
DOS(E_F)   3.2 states/eV per cell
Formation enthalpy at 0 K   -2.62 kcal/mol of atoms
Space group   No. 166
Density   8.619 Mg/m³
Energy   -8.093 eV per atom

=====

No. 5
SiSCl: optimized geometry, GGA-PBE.

Cell and atoms, written as POSCAR:
```
SiSCl
1.0
4.850 0.000 0.000
1.660 7.150 0.000
2.229 3.208 6.237
Si S Cl
2 2 2
direct
0.049 0.136 0.070
0.951 0.864 0.930
0.061 0.801 0.217
0.939 0.199 0.783
0.270 0.735 0.750
0.730 0.265 0.250
```

## Properties
Space group   No. 2
Raw formation energy   -469 meV per atom
Density   1.468 Mg/m³
Energy   -4.268 eV per atom
Energy above the lowest structure with this stoichiometry   362.3 meV per atom

=====

No. 6
Nb2Ir5Ru: optimized geometry, GGA-PBE.

Cell and atoms, written as POSCAR:
```
Nb2Ir5Ru
1.0
5.557 0.000 0.000
0.000 11.117 0.000
0.000 0.000 3.908
Nb Ir Ru
4 10 2
direct
0.245 0.123 0.000
0.255 0.623 0.000
0.745 0.377 0.000
0.755 0.877 0.000
0.000 0.500 0.500
0.003 0.750 0.500
0.249 0.375 0.000
0.251 0.875 0.000
0.497 0.250 0.500
0.500 0.000 0.500
0.503 0.750 0.500
0.749 0.125 0.000
0.751 0.625 0.000
0.997 0.250 0.500
0.000 0.000 0.500
0.500 0.500 0.500
```

## Properties
DOS(E_F)   8.3 states/eV per cell
Formation enthalpy at 0 K   -12.48 kcal/mol of atoms
Space group   No. 55
Density   17.169 Mg/m³
Energy   -9.756 eV per atom